# PBE TiCrC2, relaxed
# Magnetic moment (μB per atom): 0.0000
# V (Å³ per atom): 9.32
# Fermi-level density of states (states/eV per cell): 0.868
# Calculated formation energy (eV per atom): -0.342
# Energy (eV/atom): -9.3333
# Space-group type: R3m, No. 160
data_TiCrC2
_cell_length_a 2.926
_cell_length_b 2.926
_cell_length_c 15.085
_cell_angle_alpha 90.00
_cell_angle_beta 90.00
_cell_angle_gamma 120.00
_symmetry_space_group_name_H-M 'P 1'
_symmetry_Int_Tables_number 1
_symmetry_space_group_name_Hall 'P 1'
loop_
_atom_site_label
_atom_site_type_symbol
_atom_site_fract_x
_atom_site_fract_y
_atom_site_fract_z
Ti1 Ti 0.000 0.000 0.000
Ti2 Ti 0.333 0.667 0.667
Ti3 Ti 0.667 0.333 0.333
Cr1 Cr 0.000 0.000 0.177
Cr2 Cr 0.333 0.667 0.843
Cr3 Cr 0.667 0.333 0.510
C1 C 0.000 0.000 0.428
C2 C 0.000 0.000 0.584
C3 C 0.333 0.667 0.095
C4 C 0.333 0.667 0.250
C5 C 0.667 0.333 0.762
C6 C 0.667 0.333 0.917